DFT (GGA-PBE) results for crystalline Hf4ReIr3 at its relaxed geometry.

extended XYZ file:
```
8
Lattice="-2.285 2.285 6.721 2.285 -2.285 6.721 2.285 2.285 -6.721" Properties=species:S:1:pos:R:3 pbc="T T T"
Hf 2.285 0.000 1.668
Hf 2.285 0.000 5.053
Hf 0.000 2.285 1.668
Hf 0.000 2.285 5.053
Re 0.000 0.000 0.000
Ir 0.000 0.000 3.272
Ir 0.000 0.000 6.721
Ir 0.000 0.000 10.169
```

Properties
- N(E_F): 0.447 states/eV per atom
- Space group: I4/mmm
- Formation enthalpy at 0 K: -0.83 eV per atom


DFT (GGA-PBE) results for crystalline In4Pd3Pt at its relaxed geometry.

extended XYZ file:
```
8
Lattice="2.330 1.345 7.670 -2.330 1.345 7.670 0.000 -2.690 7.670" Properties=species:S:1:pos:R:3 pbc="T T T"
In 0.000 0.000 2.863
In 0.000 0.000 8.625
In 0.000 0.000 14.386
In 0.000 0.000 20.148
Pd 0.000 0.000 5.693
Pd 0.000 0.000 11.505
Pd 0.000 0.000 17.317
Pt 0.000 0.000 0.000
```

Properties
- N(E_F): 0.534 states/eV per atom
- Space group: R-3m
- Formation enthalpy at 0 K: -0.47 eV per atom


DFT (GGA-PBE) results for crystalline SmAlZn at its relaxed geometry.

extended XYZ file:
```
3
Lattice="4.543 0.000 0.000 -2.271 3.934 0.000 0.000 0.000 3.666" Properties=species:S:1:pos:R:3 pbc="T T T"
Sm 0.000 0.000 0.000
Al 0.000 2.623 1.833
Zn 2.271 1.311 1.833
```

Properties
- N(E_F): 0.496 states/eV per atom
- Space group: P-6m2
- Formation enthalpy at 0 K: -0.44 eV per atom


DFT (GGA-PBE) results for crystalline Hf5Zr5As6 at its relaxed geometry.

extended XYZ file:
```
16
Lattice="5.566 0.000 0.000 0.000 6.896 4.020 0.000 -6.896 4.020" Properties=species:S:1:pos:R:3 pbc="T T T"
Hf 0.000 0.000 0.000
Hf 1.391 -2.313 6.108
Hf 1.391 2.313 6.108
Hf 4.175 -2.313 6.108
Hf 4.175 2.313 6.108
Zr 0.000 -1.744 3.112
Zr 0.000 1.744 3.112
Zr 2.783 -1.748 1.055
Zr 2.783 1.748 1.055
Zr 2.783 0.000 4.193
As 0.000 -4.239 4.547
As 0.000 0.000 5.220
As 0.000 4.239 4.547
As 2.783 -2.667 3.644
As 2.783 2.667 3.644
As 2.783 0.000 7.004
```

Properties
- N(E_F): 0.969 states/eV per atom
- Space group: Amm2
- Formation enthalpy at 0 K: -0.86 eV per atom


DFT (GGA-PBE) results for crystalline TiTl2Br4Cl2 at its relaxed geometry.

extended XYZ file:
```
9
Lattice="6.266 -3.714 0.000 6.266 3.714 0.000 -4.490 0.000 6.053" Properties=species:S:1:pos:R:3 pbc="T T T"
Ti 0.000 0.000 0.000
Tl -0.238 0.000 4.502
Tl 8.280 0.000 1.552
Br 4.949 1.920 1.232
Br 3.092 1.920 4.821
Br 4.949 -1.920 1.232
Br 3.092 -1.920 4.821
Cl 1.585 0.000 1.712
Cl 6.457 0.000 4.341
```

Properties
- Space group: C2/m
- Uncorrected formation energy: -10.33 eV/f.u.


DFT (GGA-PBE) results for crystalline CeNd2Te2N2 at its relaxed geometry.

extended XYZ file:
```
7
Lattice="-2.237 2.237 8.269 2.237 -2.237 8.269 2.237 2.237 -8.269" Properties=species:S:1:pos:R:3 pbc="T T T"
Ce 0.000 0.000 0.000
Nd 0.000 0.000 6.493
Nd 0.000 0.000 10.044
Te 0.000 0.000 3.094
Te 0.000 0.000 13.443
N 2.237 0.000 0.000
N 0.000 2.237 0.000
```

Properties
- Space group: I4/mmm
- Uncorrected formation energy: -9.28 eV/f.u.


DFT (GGA-PBE) results for crystalline CeSnSbRh3 at its relaxed geometry.

extended XYZ file:
```
12
Lattice="2.864 -8.453 0.000 2.864 8.453 0.000 0.000 0.000 5.720" Properties=species:S:1:pos:R:3 pbc="T T T"
Ce 2.864 4.532 4.290
Ce 2.864 -4.532 1.430
Sn 2.864 1.686 1.430
Sn 2.864 -1.686 4.290
Sb 2.864 6.878 1.430
Sb 2.864 -6.878 4.290
Rh 2.864 4.297 1.430
Rh 1.448 0.000 0.000
Rh 1.448 0.000 2.860
Rh 4.280 0.000 0.000
Rh 4.280 0.000 2.860
Rh 2.864 -4.297 4.290
```

Properties
- N(E_F): 1.345 states/eV per atom
- Space group: Cmcm
- Uncorrected formation energy: -3.01 eV/f.u.


DFT (GGA-PBE) results for crystalline Tl2TcAu at its relaxed geometry.

extended XYZ file:
```
4
Lattice="1.586 0.916 9.461 -1.586 0.916 9.461 0.000 -1.832 9.461" Properties=species:S:1:pos:R:3 pbc="T T T"
Tl 0.000 0.000 6.981
Tl 0.000 0.000 21.403
Tc 0.000 0.000 14.192
Au 0.000 0.000 0.000
```

Properties
- N(E_F): 0.658 states/eV per atom
- Space group: R-3m
- Formation enthalpy at 0 K: 0.58 eV per atom


DFT (GGA-PBE) results for crystalline TiNb12W6 at its relaxed geometry.

extended XYZ file:
```
19
Lattice="4.917 2.839 4.123 -4.917 2.839 4.123 0.000 -5.678 4.123" Properties=species:S:1:pos:R:3 pbc="T T T"
Ti 0.000 0.000 0.000
Nb -1.577 0.432 2.399
Nb 0.414 -1.582 2.399
Nb -1.970 -0.550 5.164
Nb 1.163 1.149 2.399
Nb -0.508 -1.981 7.205
Nb 1.462 -1.431 5.164
Nb -1.462 1.431 7.205
Nb 0.508 1.981 5.164
Nb -1.163 -1.149 9.970
Nb 1.970 0.550 7.205
Nb -0.414 1.582 9.970
Nb 1.577 -0.432 9.970
W -0.710 -3.150 4.612
W -3.083 -0.960 7.758
W -2.373 2.190 4.612
W 2.373 -2.190 7.758
W 3.083 0.960 4.612
W 0.710 3.150 7.758
```

Properties
- N(E_F): 0.985 states/eV per atom
- Space group: R-3
- Formation enthalpy at 0 K: 0.18 eV per atom


DFT (GGA-PBE) results for crystalline Tb2Ti2Ni15 at its relaxed geometry.

extended XYZ file:
```
19
Lattice="4.166 2.405 4.125 -4.166 2.405 4.125 0.000 -4.810 4.125" Properties=species:S:1:pos:R:3 pbc="T T T"
Tb 0.000 0.000 1.867
Tb 0.000 0.000 10.507
Ti 0.000 0.000 4.932
Ti 0.000 0.000 7.441
Ni -2.083 -1.203 4.125
Ni 0.000 -2.397 3.992
Ni -2.076 1.198 3.992
Ni -1.242 -2.152 6.187
Ni -2.485 0.000 6.187
Ni -2.076 -1.198 8.381
Ni -2.083 1.203 8.249
Ni 1.242 -2.152 6.187
Ni 0.000 2.405 4.124
Ni -1.242 2.152 6.187
Ni 2.076 1.198 3.992
Ni 2.485 0.000 6.187
Ni 1.242 2.152 6.187
Ni 2.076 -1.198 8.381
Ni 0.000 2.397 8.381
```

Properties
- N(E_F): 1.488 states/eV per atom
- Space group: R-3m
- Formation enthalpy at 0 K: -0.31 eV per atom


DFT (GGA-PBE) results for crystalline SrPrAs2O8 at its relaxed geometry.

extended XYZ file:
```
12
Lattice="-2.628 2.628 6.023 2.628 -2.628 6.023 2.628 2.628 -6.023" Properties=species:S:1:pos:R:3 pbc="T T T"
Sr 0.000 0.000 0.000
Pr 0.000 2.628 3.012
As 2.628 0.000 3.012
As 0.000 0.000 6.023
O 3.923 -0.712 2.121
O 1.916 -1.295 3.902
O 1.991 1.334 -0.951
O 1.332 0.712 2.121
O 1.294 -0.637 6.974
O 3.339 1.295 3.902
O 0.637 1.294 5.072
O 1.334 3.265 0.951
```

Properties
- N(E_F): 0.596 states/eV per atom
- Space group: I-4
- Uncorrected formation energy: -24.22 eV/f.u.


DFT (GGA-PBE) results for crystalline Pm2Nd6Pu at its relaxed geometry.

extended XYZ file:
```
9
Lattice="5.194 -3.573 0.000 5.194 3.573 0.000 -2.246 0.000 8.401" Properties=species:S:1:pos:R:3 pbc="T T T"
Pm 1.350 0.000 3.821
Pm 6.792 0.000 4.580
Nd 4.010 1.742 2.475
Nd 4.132 1.742 5.927
Nd 1.322 0.000 7.768
Nd 6.821 0.000 0.633
Nd 4.010 -1.742 2.475
Nd 4.132 -1.742 5.927
Pu 0.000 0.000 0.000
```

Properties
- N(E_F): 1.959 states/eV per atom
- Space group: C2/m
- Formation enthalpy at 0 K: 0.18 eV per atom


DFT (GGA-PBE) results for crystalline MgCuN2 at its relaxed geometry.

extended XYZ file:
```
8
Lattice="-2.243 2.243 4.777 2.243 -2.243 4.777 2.243 2.243 -4.777" Properties=species:S:1:pos:R:3 pbc="T T T"
Mg 0.000 0.000 0.000
Mg 0.000 2.243 2.388
Cu 2.243 0.000 2.388
Cu 0.000 0.000 4.777
N 1.122 -0.937 3.583
N 1.306 1.122 1.194
N 1.122 3.180 -1.194
N 0.937 1.122 5.971
```

Properties
- N(E_F): 0.639 states/eV per atom
- Space group: I-42d
- Uncorrected formation energy: 2.01 eV/f.u.


DFT (GGA-PBE) results for crystalline NaOsRu2W at its relaxed geometry.

extended XYZ file:
```
5
Lattice="4.284 0.000 0.000 0.000 4.284 0.000 0.000 0.000 4.409" Properties=species:S:1:pos:R:3 pbc="T T T"
Na 0.000 0.000 0.000
Os 0.000 0.000 2.205
Ru 0.000 2.142 0.000
Ru 2.142 0.000 0.000
W 2.142 2.142 2.205
```

Properties
- N(E_F): 0.817 states/eV per atom
- Space group: P4/mmm
- Formation enthalpy at 0 K: 2.43 eV per atom


DFT (GGA-PBE) results for crystalline CeNd2InC at its relaxed geometry.

extended XYZ file:
```
5
Lattice="5.176 0.000 0.000 0.000 5.176 0.000 0.000 0.000 4.900" Properties=species:S:1:pos:R:3 pbc="T T T"
Ce 0.000 0.000 0.000
Nd 0.000 2.588 2.450
Nd 2.588 0.000 2.450
In 2.588 2.588 0.000
C 0.000 0.000 2.450
```

Properties
- N(E_F): 1.082 states/eV per atom
- Space group: P4/mmm
- Formation enthalpy at 0 K: -0.32 eV per atom


DFT (GGA-PBE) results for crystalline V4SiNi12 at its relaxed geometry.

extended XYZ file:
```
17
Lattice="-3.690 3.690 3.690 3.690 -3.690 3.690 3.690 3.690 -3.690" Properties=species:S:1:pos:R:3 pbc="T T T"
V 1.845 1.845 -1.845
V 1.845 -1.845 1.845
V -1.845 1.845 1.845
V 1.845 1.845 1.845
Si 0.000 0.000 0.000
Ni 2.156 0.000 0.000
Ni 5.223 0.000 0.000
Ni 3.690 1.845 0.000
Ni 3.690 0.000 1.845
Ni 0.000 2.156 0.000
Ni 0.000 0.000 2.156
Ni 1.845 3.690 0.000
Ni 1.845 0.000 3.690
Ni 0.000 5.223 0.000
Ni 0.000 0.000 5.223
Ni 0.000 3.690 1.845
Ni 0.000 1.845 3.690
```

Properties
- N(E_F): 1.476 states/eV per atom
- Space group: Im-3m
- Uncorrected formation energy: -1.12 eV/f.u.


DFT (GGA-PBE) results for crystalline CuPdCl2 at its relaxed geometry.

extended XYZ file:
```
8
Lattice="-2.865 2.865 5.227 2.865 -2.865 5.227 2.865 2.865 -5.227" Properties=species:S:1:pos:R:3 pbc="T T T"
Cu 0.000 0.000 0.000
Cu 0.000 2.865 2.614
Pd 2.865 0.000 2.614
Pd 0.000 0.000 5.227
Cl 4.297 1.262 -1.307
Cl 1.262 1.432 1.307
Cl -1.432 1.603 3.921
Cl 1.603 1.432 6.534
```

Properties
- N(E_F): 1.212 states/eV per atom
- Space group: I-42d
- Uncorrected formation energy: -0.50 eV/f.u.


DFT (GGA-PBE) results for crystalline Mn2TcSb at its relaxed geometry.

extended XYZ file:
```
4
Lattice="2.688 -3.769 0.000 2.688 3.769 0.000 0.000 0.000 3.056" Properties=species:S:1:pos:R:3 pbc="T T T"
Mn 1.344 1.885 0.000
Mn 1.344 -1.885 0.000
Tc 0.000 0.000 1.528
Sb 2.688 0.000 1.528
```

Properties
- N(E_F): 0.880 states/eV per atom
- Space group: Cmmm
- Uncorrected formation energy: 0.92 eV/f.u.


DFT (GGA-PBE) results for crystalline TaW2N at its relaxed geometry.

extended XYZ file:
```
8
Lattice="4.876 0.000 0.000 2.410 4.647 0.000 1.504 1.544 4.910" Properties=species:S:1:pos:R:3 pbc="T T T"
Ta 2.113 2.309 1.215
Ta 6.677 3.883 3.695
W 4.315 5.479 3.579
W 4.425 3.893 1.386
W 4.365 2.299 3.524
W 4.475 0.713 1.331
N 2.742 2.305 4.898
N 6.048 3.886 0.012
```

Properties
- N(E_F): 0.493 states/eV per atom
- Space group: P-1
- Uncorrected formation energy: -1.00 eV/f.u.


DFT (GGA-PBE) results for crystalline AlIn2CuCl at its relaxed geometry.

extended XYZ file:
```
5
Lattice="5.429 0.000 0.000 0.000 5.429 0.000 0.000 0.000 4.805" Properties=species:S:1:pos:R:3 pbc="T T T"
Al 0.000 0.000 0.000
In 0.000 2.714 0.000
In 2.714 0.000 0.000
Cu 2.714 2.714 2.402
Cl 0.000 0.000 2.402
```

Properties
- N(E_F): 0.330 states/eV per atom
- Space group: P4/mmm
- Uncorrected formation energy: 1.43 eV/f.u.


DFT (GGA-PBE) results for crystalline Pu3Pa2NbN6 at its relaxed geometry.

extended XYZ file:
```
12
Lattice="2.973 -5.149 0.000 2.973 5.149 0.000 -1.972 0.000 5.609" Properties=species:S:1:pos:R:3 pbc="T T T"
Pu 0.000 0.000 0.000
Pu 2.973 1.686 0.000
Pu 2.973 -1.686 0.000
Pa 1.987 3.431 2.805
Pa 1.987 -3.431 2.805
Nb 1.987 0.000 2.805
N 1.020 1.671 1.496
N 0.059 0.000 4.117
N 1.020 -1.671 1.496
N 2.955 1.671 4.113
N 3.916 0.000 1.492
N 2.955 -1.671 4.113
```

Properties
- N(E_F): 0.979 states/eV per atom
- Space group: C2/m
- Uncorrected formation energy: -16.73 eV/f.u.


DFT (GGA-PBE) results for crystalline CaAl2Cu6 at its relaxed geometry.

extended XYZ file:
```
9
Lattice="-1.730 3.334 6.142 1.730 -3.334 6.142 1.730 3.334 -6.142" Properties=species:S:1:pos:R:3 pbc="T T T"
Ca 0.000 0.000 0.000
Al 1.730 0.000 4.486
Al 0.000 3.334 1.657
Cu 1.730 1.300 -2.262
Cu 1.730 2.194 0.000
Cu 1.730 1.300 2.262
Cu 0.000 2.034 3.880
Cu 0.000 1.141 6.142
Cu 0.000 2.034 8.405
```

Properties
- N(E_F): 0.218 states/eV per atom
- Space group: Immm
- Formation enthalpy at 0 K: -0.03 eV per atom


no.,uncorrected energy (Ha/atom),size of the total moment (μB per formula unit),calculated volume (Å³ per atom)
1,-0.3925,0.0,17.55
2,-0.1670,0.0,18.03
3,-0.1356,0.0,21.84
4,-0.3082,0.0,19.29
5,-0.1361,0.0,31.31
6,-0.2504,0.0,23.64
7,-0.2396,0.8,23.08
8,-0.1473,0.8,20.62
9,-0.3928,0.0,18.17
10,-0.2277,0.7,13.05
11,-0.2439,1.1,13.86
12,-0.2076,6.6,34.65
13,-0.1868,0.0,12.02
14,-0.2344,0.0,16.19
15,-0.2135,0.3,26.26
16,-0.2430,7.4,11.82
17,-0.1239,0.0,21.45
18,-0.2932,5.6,15.48
19,-0.4325,0.0,13.91
20,-0.1009,0.0,28.32
21,-0.4249,14.8,14.31
22,-0.1401,0.0,15.75